# Er2CrHg | Alexandria | PBE | optimized geometry
data_Er2CrHg
_cell_length_a 3.5284
_cell_length_b 3.5284
_cell_length_c 7.5467
_cell_angle_alpha 90.00
_cell_angle_beta 90.00
_cell_angle_gamma 90.00
_symmetry_space_group_name_H-M 'P 4/m m m'
_symmetry_Int_Tables_number 123
_symmetry_space_group_name_Hall '-P 4 2'
loop_
_atom_site_label
_atom_site_type_symbol
_atom_site_fract_x
_atom_site_fract_y
_atom_site_fract_z
_atom_site_occupancy
Er1 Er 0.0000 0.0000 0.2298 1
Cr1 Cr 0.5000 0.5000 0.0000 1
Hg1 Hg 0.5000 0.5000 0.5000 1
# - formation energy from the elements (eV/atom) = -0.073
# - energy (eV per atom) = -4.84
# - calculated volume (A^3/atom) = 23.49